# 1
A plane-wave DFT calculation with GGA-PBE was carried out for a relaxed structure of GaNi2Sn.

```
data_GaNi2Sn
_cell_length_a 5.179
_cell_length_b 5.179
_cell_length_c 5.877
_cell_angle_alpha 105.40
_cell_angle_beta 105.40
_cell_angle_gamma 53.97
_symmetry_space_group_name_H-M 'P 1'
_symmetry_Int_Tables_number 1
loop_
_symmetry_equiv_pos_as_xyz
'x,y,z'
loop_
_atom_site_label
_atom_site_fract_x
_atom_site_fract_y
_atom_site_fract_z
Ga1 0.000 0.000 0.000
Ga2 0.771 0.229 0.500
Ni1 0.411 0.453 0.794
Ni2 0.540 0.051 0.114
Ni3 0.547 0.589 0.206
Ni4 0.949 0.460 0.886
Sn1 0.081 0.555 0.350
Sn2 0.445 0.919 0.650
```

Summary:
SG ... C2, No. 5
Formation energy ... -59 kJ/mol of formula units
Excess energy over the best structure of this formula in the dataset ... 0.0224 eV per atom
V ... 15.2 Å³ per atom

# 2
A plane-wave DFT calculation with GGA-PBE was carried out for a relaxed structure of Ga2Ni8Sn.

```
data_Ga2Ni8Sn
_cell_length_a 6.498
_cell_length_b 6.498
_cell_length_c 4.334
_cell_angle_alpha 104.06
_cell_angle_beta 104.06
_cell_angle_gamma 118.70
_symmetry_space_group_name_H-M 'P 1'
_symmetry_Int_Tables_number 1
loop_
_symmetry_equiv_pos_as_xyz
'x,y,z'
loop_
_atom_site_label
_atom_site_fract_x
_atom_site_fract_y
_atom_site_fract_z
Ga1 0.193 0.807 0.000
Ga2 0.807 0.193 0.000
Ni1 0.080 0.080 0.309
Ni2 0.176 0.403 0.866
Ni3 0.277 0.723 0.500
Ni4 0.403 0.176 0.866
Ni5 0.597 0.824 0.134
Ni6 0.723 0.277 0.500
Ni7 0.824 0.597 0.134
Ni8 0.920 0.920 0.691
Sn1 0.500 0.500 0.500
```

Summary:
SG ... C2/m, No. 12
Formation energy ... -87 kJ/mol of formula units
V ... 12.8 Å³ per atom

# 3
A plane-wave DFT calculation with GGA-PBE was carried out for a relaxed structure of Ga2Ni2Sn.

```
data_Ga2Ni2Sn
_cell_length_a 6.461
_cell_length_b 6.461
_cell_length_c 6.461
_cell_angle_alpha 147.24
_cell_angle_beta 147.24
_cell_angle_gamma 47.01
_symmetry_space_group_name_H-M 'P 1'
_symmetry_Int_Tables_number 1
loop_
_symmetry_equiv_pos_as_xyz
'x,y,z'
loop_
_atom_site_label
_atom_site_fract_x
_atom_site_fract_y
_atom_site_fract_z
Ga1 0.250 0.750 0.500
Ga2 0.750 0.250 0.500
Ni1 0.107 0.107 0.000
Ni2 0.893 0.893 0.000
Sn1 0.500 0.500 0.000
```

Summary:
SG ... I4/mmm, No. 139
Formation energy ... -75 kJ/mol of formula units
Excess energy over the best structure of this formula in the dataset ... 0.1033 eV per atom
V ... 15.7 Å³ per atom

# 4
A plane-wave DFT calculation with GGA-PBE was carried out for a relaxed structure of Ga3Ni5Sn2.

```
data_Ga3Ni5Sn2
_cell_length_a 6.503
_cell_length_b 6.503
_cell_length_c 11.507
_cell_angle_alpha 90.00
_cell_angle_beta 90.00
_cell_angle_gamma 143.02
_symmetry_space_group_name_H-M 'P 1'
_symmetry_Int_Tables_number 1
loop_
_symmetry_equiv_pos_as_xyz
'x,y,z'
loop_
_atom_site_label
_atom_site_fract_x
_atom_site_fract_y
_atom_site_fract_z
Ga1 0.000 0.000 0.000
Ga2 0.000 0.000 0.500
Ga3 0.331 0.669 0.526
Ga4 0.331 0.669 0.974
Ga5 0.669 0.331 0.026
Ga6 0.669 0.331 0.474
Ni1 0.158 0.842 0.623
Ni2 0.158 0.842 0.877
Ni3 0.338 0.662 0.750
Ni4 0.481 0.519 0.120
Ni5 0.481 0.519 0.380
Ni6 0.519 0.481 0.620
Ni7 0.519 0.481 0.880
Ni8 0.662 0.338 0.250
Ni9 0.842 0.158 0.123
Ni10 0.842 0.158 0.377
Sn1 0.034 0.966 0.250
Sn2 0.294 0.706 0.250
Sn3 0.706 0.294 0.750
Sn4 0.966 0.034 0.750
```

Summary:
SG ... Cmcm, No. 63
Formation energy ... -313 kJ/mol of formula units
V ... 14.6 Å³ per atom